[1]
A geometry-optimized BaLa2Sb structure, computed with PBE.

Results
magnetization	0.146	μB/cell
SG	R3m
E_form (uncorrected)	-0.45	eV per atom
density of states at the Fermi level	5.8	states/eV per cell
crystal system	trigonal

Unit cell a=11.055 b=11.055 c=11.055 alpha=22.73 beta=22.73 gamma=22.73
Fractional coordinates of all 4 atoms:
Ba1 0.000 0.000 0.000
La1 0.559 0.559 0.559
La2 0.773 0.773 0.773
Sb1 0.166 0.166 0.166

[2]
A geometry-optimized MnGa3Pd6 structure, computed with PBE.

Results
magnetization	9.353	μB/cell
SG	Cmc2_1
relative energy among the computed polymorphs	0.080	eV/atom
density of states at the Fermi level	5.8	states/eV per cell
E_form	-0.424	eV per atom
crystal system	orthorhombic

Unit cell a=7.566 b=7.566 c=5.940 alpha=90.00 beta=90.00 gamma=107.81
Fractional coordinates of all 20 atoms:
Mn1 0.212 0.788 0.500
Mn2 0.788 0.212 0.000
Ga1 0.035 0.280 0.617
Ga2 0.280 0.035 0.117
Ga3 0.435 0.565 0.237
Ga4 0.565 0.435 0.737
Ga5 0.720 0.965 0.617
Ga6 0.965 0.720 0.117
Pd1 0.040 0.960 0.774
Pd2 0.070 0.462 0.261
Pd3 0.256 0.326 0.940
Pd4 0.279 0.721 0.936
Pd5 0.326 0.256 0.440
Pd6 0.462 0.070 0.761
Pd7 0.538 0.930 0.261
Pd8 0.674 0.744 0.940
Pd9 0.721 0.279 0.436
Pd10 0.744 0.674 0.440
Pd11 0.930 0.538 0.761
Pd12 0.960 0.040 0.274

[3]
A geometry-optimized CrGa2CoW structure, computed with PBE.

Results
magnetization	0.490	μB/cell
SG	P4/mmm
density of states at the Fermi level	5.3	states/eV per cell
E_form	0.963	eV per atom
crystal system	tetragonal

Unit cell a=4.358 b=4.358 c=4.322 alpha=90.00 beta=90.00 gamma=90.00
Fractional coordinates of all 5 atoms:
Cr1 0.000 0.000 0.000
Ga1 0.000 0.500 0.500
Ga2 0.500 0.000 0.500
Co1 0.000 0.000 0.500
W1 0.500 0.500 0.000

[4]
A geometry-optimized LaTmSb2 structure, computed with PBE.

Results
magnetization	0.000	μB/cell
SG	R3m
relative energy among the computed polymorphs	0.090	eV/atom
E_form (uncorrected)	-1.08	eV per atom
density of states at the Fermi level	0.4	states/eV per cell
crystal system	trigonal

Unit cell a=8.028 b=8.028 c=8.028 alpha=32.01 beta=32.01 gamma=32.01
Fractional coordinates of all 4 atoms:
La1 0.000 0.000 0.000
Tm1 0.829 0.829 0.829
Sb1 0.241 0.241 0.241
Sb2 0.421 0.421 0.421

[5]
A geometry-optimized LaBi2S4 structure, computed with PBE.

Results
magnetization	0.001	μB/cell
SG	Cmcm
E_form (uncorrected)	-0.90	eV per atom
density of states at the Fermi level	1.7	states/eV per cell
crystal system	orthorhombic

Unit cell a=6.853 b=6.853 c=13.227 alpha=90.00 beta=90.00 gamma=143.34
Fractional coordinates of all 14 atoms:
La1 0.124 0.876 0.750
La2 0.876 0.124 0.250
Bi1 0.374 0.626 0.562
Bi2 0.374 0.626 0.938
Bi3 0.626 0.374 0.062
Bi4 0.626 0.374 0.438
S1 0.000 0.000 0.000
S2 0.000 0.000 0.500
S3 0.273 0.727 0.122
S4 0.273 0.727 0.378
S5 0.479 0.521 0.750
S6 0.521 0.479 0.250
S7 0.727 0.273 0.622
S8 0.727 0.273 0.878

[6]
A geometry-optimized K2PaGeSe4 structure, computed with PBE.

Results
magnetization	1.002	μB/cell
SG	P2/m
E_form (uncorrected)	-1.09	eV per atom
density of states at the Fermi level	5.4	states/eV per cell
crystal system	monoclinic

Unit cell a=7.373 b=4.238 c=7.958 alpha=90.00 beta=107.43 gamma=90.00
Fractional coordinates of all 8 atoms:
K1 0.000 0.000 0.000
K2 0.500 0.500 0.000
Pa1 0.000 0.500 0.500
Ge1 0.500 0.000 0.500
Se1 0.234 0.000 0.703
Se2 0.261 0.500 0.301
Se3 0.739 0.500 0.699
Se4 0.766 0.000 0.297

[7]
A geometry-optimized SmTmTlPd structure, computed with PBE.

Results
magnetization	0.000	μB/cell
SG	F-43m
density of states at the Fermi level	3.8	states/eV per cell
E_form	-0.526	eV per atom
crystal system	cubic

Unit cell a=5.198 b=5.198 c=5.198 alpha=60.00 beta=60.00 gamma=60.00
Fractional coordinates of all 4 atoms:
Sm1 0.000 0.000 0.000
Tm1 0.500 0.500 0.500
Tl1 0.750 0.750 0.750
Pd1 0.250 0.250 0.250

[8]
A geometry-optimized HoScCo2 structure, computed with PBE.

Results
magnetization	0.630	μB/cell
SG	Fm-3m
relative energy among the computed polymorphs	0.004	eV/atom
density of states at the Fermi level	1.7	states/eV per cell
E_form	-0.238	eV per atom
crystal system	cubic

Unit cell a=4.559 b=4.559 c=4.559 alpha=60.00 beta=60.00 gamma=60.00
Fractional coordinates of all 4 atoms:
Ho1 0.000 0.000 0.000
Sc1 0.500 0.500 0.500
Co1 0.250 0.250 0.250
Co2 0.750 0.750 0.750

[9]
A geometry-optimized Ti7Pd structure, computed with PBE.

Results
magnetization	2.596	μB/cell
SG	I4/mmm
density of states at the Fermi level	14.4	states/eV per cell
E_form	-0.088	eV per atom
crystal system	tetragonal

Unit cell a=7.373 b=7.373 c=7.373 alpha=144.65 beta=144.65 gamma=50.86
Fractional coordinates of all 8 atoms:
Ti1 0.000 0.000 0.000
Ti2 0.123 0.623 0.500
Ti3 0.243 0.243 0.000
Ti4 0.377 0.877 0.500
Ti5 0.623 0.123 0.500
Ti6 0.757 0.757 0.000
Ti7 0.877 0.377 0.500
Pd1 0.500 0.500 0.000

[10]
A geometry-optimized BeReOsRu structure, computed with PBE.

Results
magnetization	0.000	μB/cell
SG	F-43m
density of states at the Fermi level	2.7	states/eV per cell
E_form	0.080	eV per atom
crystal system	cubic

Unit cell a=4.229 b=4.229 c=4.229 alpha=60.00 beta=60.00 gamma=60.00
Fractional coordinates of all 4 atoms:
Be1 0.000 0.000 0.000
Re1 0.500 0.500 0.500
Os1 0.250 0.250 0.250
Ru1 0.750 0.750 0.750

[11]
A geometry-optimized KZn3Bi structure, computed with PBE.

Results
magnetization	0.000	μB/cell
SG	Pm-3m
relative energy among the computed polymorphs	0.000	eV/atom
density of states at the Fermi level	3.5	states/eV per cell
E_form	0.334	eV per atom
crystal system	cubic

Unit cell a=5.691 b=5.691 c=5.691 alpha=90.00 beta=90.00 gamma=90.00
Fractional coordinates of all 5 atoms:
K1 0.000 0.000 0.000
Zn1 0.000 0.500 0.500
Zn2 0.500 0.000 0.500
Zn3 0.500 0.500 0.000
Bi1 0.500 0.500 0.500

[12]
A geometry-optimized AgAsS3 structure, computed with PBE.

Results
magnetization	0.000	μB/cell
SG	Pm-3m
E_form (uncorrected)	0.57	eV per atom
density of states at the Fermi level	3.9	states/eV per cell
crystal system	cubic

Unit cell a=4.769 b=4.769 c=4.769 alpha=90.00 beta=90.00 gamma=90.00
Fractional coordinates of all 5 atoms:
Ag1 0.000 0.000 0.000
As1 0.500 0.500 0.500
S1 0.000 0.500 0.500
S2 0.500 0.000 0.500
S3 0.500 0.500 0.000